Entry 1:
ZnNiRh: relaxed, PBE.

```
6
Lattice="4.1812 0.0000 0.0000 -2.0906 3.6211 0.0000 0.0000 0.0000 5.1631" Properties=species:S:1:pos:R:3 pbc="T T T"
Zn 0.0000 0.0000 0.0000
Zn 0.0000 2.4140 1.7697
Ni 0.0000 2.4140 4.2980
Ni 2.0906 1.2070 3.5005
Rh 0.0000 0.0000 2.6649
Rh 2.0906 1.2070 0.8685
```

Values from the calculation:
- energy above the lowest structure with this stoichiometry (meV per atom) = 2
- energy relative to the elements (meV/atom) = -168.7
- symmetry = P3m1
- mass density (g/cm³) = 9.64


Entry 2:
ReMoAs2: relaxed, PBE.

```
4
Lattice="-1.5510 2.5668 4.0596 1.5510 -2.5668 4.0596 1.5510 2.5668 -4.0596" Properties=species:S:1:pos:R:3 pbc="T T T"
Re 0.0000 0.0000 0.0000
Mo 0.0000 0.0000 4.0596
As 1.5510 0.0000 1.9904
As 0.0000 2.5668 2.0692
```

Values from the calculation:
- energy above the lowest structure with this stoichiometry (meV per atom) = 457
- energy relative to the elements (meV/atom) = 500.9
- symmetry = Immm
- mass density (g/cm³) = 11.10


Entry 3:
K2Na8Cd: relaxed, PBE.

```
11
Lattice="10.2326 -2.9001 0.0000 10.2326 2.9001 0.0000 -1.3250 0.0000 7.4953" Properties=species:S:1:pos:R:3 pbc="T T T"
K 4.3307 0.0000 1.3414
K 14.8096 0.0000 6.1539
Na 0.2375 0.0000 1.8550
Na 1.7868 0.0000 4.9356
Na 6.5287 0.0000 4.5850
Na 8.5537 0.0000 0.6563
Na 10.5866 0.0000 6.8390
Na 12.6116 0.0000 2.9103
Na 17.3535 0.0000 2.5597
Na 18.9028 0.0000 5.6403
Cd 9.5702 0.0000 3.7477
```

Values from the calculation:
- energy relative to the elements (meV/atom) = 10.0
- symmetry = C2/m
- mass density (g/cm³) = 1.40


Entry 4:
NaLa2Te6Pb3: relaxed, PBE.

```
12
Lattice="10.1439 -2.3009 0.0000 10.1439 2.3009 0.0000 -2.3324 0.0000 9.0560" Properties=species:S:1:pos:R:3 pbc="T T T"
Na 0.0000 0.0000 0.0000
La 5.2347 0.0000 6.0227
La 12.7208 0.0000 3.0333
Te 2.0484 0.0000 5.3021
Te 3.2611 0.0000 0.8267
Te 8.3329 0.0000 6.7778
Te 9.6226 0.0000 2.2782
Te 14.6944 0.0000 8.2293
Te 15.9071 0.0000 3.7538
Pb -1.1662 0.0000 4.5280
Pb 6.5224 0.0000 1.4170
Pb 11.4331 0.0000 7.6389
```

Values from the calculation:
- uncorrected energy (eV/atom) = -4.308
- symmetry = C2/m
- mass density (g/cm³) = 6.63